No. 1
First-principles (PBE) data for a relaxed structure of ZrP3Pt, as listed in Alexandria via LeMat-Bulk.

a b c (Å): 4.9352 4.9352 4.9352
angles (deg): 90.00 90.00 90.00
Space group Pm-3m (No. 221)
One atom of each set of equivalent atoms:
Zr: 0.0000 0.0000 0.0000 [1 per cell]
P: 0.0000 0.0000 0.5000 [3 per cell]
Pt: 0.5000 0.5000 0.5000 [1 per cell]

distance to the lowest polymorph of the same formula = 2.37 eV per formula unit

=====

No. 2
First-principles (PBE) data for a relaxed structure of ZrP2Pt, as listed in Alexandria via LeMat-Bulk.

a b c (Å): 11.1823 3.4365 3.6235
angles (deg): 90.00 100.52 90.00
Space group Cm (No. 8)
One atom of each set of equivalent atoms:
Zr: 0.0000 0.0000 0.0000 [2 per cell]
P: 0.1892 0.5000 0.0829 [2 per cell]
P: 0.4278 0.0000 0.4639 [2 per cell]
Pt: 0.2298 0.0000 0.6092 [2 per cell]

distance to the lowest polymorph of the same formula = 0.53 eV per formula unit

=====

No. 3
First-principles (PBE) data for a relaxed structure of ZrPPt2, as listed in Alexandria via LeMat-Bulk.

a b c (Å): 9.4344 3.6200 4.2052
angles (deg): 90.00 94.52 90.00
Space group Cm (No. 8)
One atom of each set of equivalent atoms:
Zr: 0.0000 0.0000 0.0000 [2 per cell]
P: 0.2152 0.0000 0.6509 [2 per cell]
Pt: 0.2170 0.5000 0.2775 [2 per cell]
Pt: 0.4416 0.0000 0.4912 [2 per cell]

=====

No. 4
First-principles (PBE) data for a relaxed structure of ZrPPt2, as listed in Alexandria via LeMat-Bulk.

a b c (Å): 3.6523 4.6817 7.8098
angles (deg): 90.00 90.00 90.00
Space group Imm2 (No. 44)
One atom of each set of equivalent atoms:
Zr: 0.0000 0.0000 0.0000 [2 per cell]
P: 0.0000 0.5000 0.2559 [2 per cell]
Pt: 0.0000 0.0000 0.5759 [2 per cell]
Pt: 0.0000 0.5000 0.7951 [2 per cell]

=====

Computed values of calculated total energy (unit: eV per atom) for the preceding records, in sequence: -5.2714; -7.1049; -7.1388; -7.3110.